[1]
DFT (PBE-GGA) results for an optimized crystal structure of K3Th2CuS6.

Computed properties:
Formation energy (no corrections) = -1.4704 eV per atom
Volume = 330 Å³ per cell

a = 7.3857 Å, b = 7.3857 Å, c = 7.6187 Å
α = 97.41°, β = 97.41°, γ = 124.23°
With the nearest neighbours (Å) after each atom.
Fractional coordinates of all 12 atoms:
Cu1 0.0000 0.0000 0.0000  2 S 2.34
Th1 0.6655 0.3345 0.0000  6 S 2.73-2.88
S1 0.9372 0.5588 0.7784  2 Th 2.73-2.80
S2 0.0628 0.4412 0.2216  2 Th 2.73-2.80
K1 0.1524 0.8476 0.5000  6 S 3.12-3.29
K2 0.8476 0.1524 0.5000  6 S 3.12-3.29
S3 0.4412 0.0628 0.2216  2 Th 2.73-2.80
S4 0.2387 0.2387 0.8335  1 Cu 2.34
Th2 0.3345 0.6655 0.0000  6 S 2.73-2.88
K3 0.5000 0.5000 0.5000  6 S 3.40-3.50
S5 0.5588 0.9372 0.7784  2 Th 2.73-2.80
S6 0.7613 0.7613 0.1665  1 Cu 2.34


[2]
DFT (PBE-GGA) results for an optimized crystal structure of KTh2Cu2S6.

Computed properties:
Formation energy (no corrections) = -1.2445 eV per atom
Volume = 306 Å³ per cell

a = 7.3352 Å, b = 7.3423 Å, c = 7.7225 Å
α = 119.44°, β = 86.80°, γ = 64.04°
With the nearest neighbours (Å) after each atom.
Fractional coordinates of all 11 atoms:
S1 0.5849 0.2131 0.9652  1 Cu 2.22
S2 0.8190 0.1514 0.4128  1 Cu 2.20
S3 0.4151 0.7869 0.0348  1 Cu 2.22
K1 0.5000 0.0000 0.5000  6 S 3.16-3.36
S4 0.0692 0.5472 0.8122  1 Cu 2.26
Th1 0.1727 0.6512 0.1763  6 S 2.77-2.84
Cu1 0.2387 0.7397 0.8077  3 S 2.20-2.26
Cu2 0.7613 0.2603 0.1923  3 S 2.20-2.26
S5 0.9308 0.4528 0.1878  1 Cu 2.26
S6 0.1810 0.8486 0.5872  1 Cu 2.20
Th2 0.8273 0.3488 0.8237  6 S 2.77-2.84


[3]
DFT (PBE-GGA) results for an optimized crystal structure of K3Th3CuS8.

Computed properties:
Formation energy (no corrections) = -1.5351 eV per atom
Volume = 439 Å³ per cell

a = 8.5996 Å, b = 8.1472 Å, c = 8.6340 Å
α = 116.15°, β = 90.00°, γ = 121.85°
With the nearest neighbours (Å) after each atom.
Fractional coordinates of all 15 atoms:
S1 0.2600 0.9543 0.7146  2 Th 2.71-2.76
Th1 0.0000 0.5000 0.5000  6 S 2.71-2.87
S2 0.3057 0.0457 0.2854  2 Th 2.71-2.76
Th2 0.5000 0.5000 0.5000  6 S 2.71-2.87
S3 0.1947 0.3894 0.6595  1 Cu 2.30
K1 0.0000 0.5000 0.0000  6 S 3.23-3.39
Cu1 0.0000 0.0000 0.5000  2 S 2.30
S4 0.8053 0.6106 0.3405  1 Cu 2.30
S5 0.7400 0.0457 0.2854  2 Th 2.71-2.76
S6 0.2607 0.5214 0.2884  3 Th 2.83-2.87, 1 K 3.15
S7 0.6943 0.9543 0.7146  2 Th 2.71-2.76
Th3 0.5000 0.0000 0.5000  6 S 2.76-2.83
K2 0.5000 0.5000 0.0000  6 S 3.23-3.39
S8 0.7393 0.4786 0.7116  3 Th 2.83-2.87, 1 K 3.15
K3 0.0000 0.0000 0.0000  6 S 3.15-3.36


[4]
DFT (PBE-GGA) results for an optimized crystal structure of K2ThCu2S4.

Computed properties:
Formation energy (no corrections) = -1.2312 eV per atom
Volume = 212 Å³ per cell

a = 4.0335 Å, b = 7.6563 Å, c = 7.5667 Å
α = 109.14°, β = 105.50°, γ = 89.96°
With the nearest neighbours (Å) after each atom.
Fractional coordinates of all 9 atoms:
K1 0.8618 0.4326 0.7233  7 S 3.21-3.46, 1 Cu 3.53
Th1 0.0000 0.0000 0.0000  6 S 2.79-2.80
Cu1 0.3169 0.0115 0.6390  4 S 2.36-2.43
S1 0.4769 0.2364 0.9546  1 Cu 2.36
S2 0.2032 0.1725 0.4041  3 Cu 2.41-2.43
K2 0.1382 0.5674 0.2767  7 S 3.21-3.46, 1 Cu 3.53
S3 0.7968 0.8275 0.5959  3 Cu 2.41-2.43
S4 0.5231 0.7636 0.0454  1 Cu 2.36
Cu2 0.6831 0.9885 0.3610  4 S 2.36-2.43


[5]
DFT (PBE-GGA) results for an optimized crystal structure of K3Th2Cu3S7.

Computed properties:
Formation energy (no corrections) = -1.3297 eV per atom
Volume = 724 Å³ per cell

a = 7.4814 Å, b = 7.4814 Å, c = 24.7151 Å
α = 90.00°, β = 90.00°, γ = 148.42°
With the nearest neighbours (Å) after each atom.
Fractional coordinates of all 30 atoms:
K1 0.9527 0.0473 0.0633  7 S 3.16-3.50, 1 K 3.41
Th1 0.6909 0.3091 0.1418  6 S 2.78-2.81
S1 0.6831 0.3169 0.8796  1 Cu 2.35
Cu1 0.8394 0.1606 0.7500  4 S 2.33-2.42
Cu2 0.2375 0.7625 0.0374  4 S 2.35-2.45
Th2 0.6909 0.3091 0.3582  6 S 2.78-2.81
S2 0.3568 0.6432 0.9679  3 Cu 2.43-2.45
S3 0.9321 0.0679 0.6725  1 Cu 2.33
Cu3 0.7625 0.2375 0.9626  4 S 2.35-2.45
S4 0.6831 0.3169 0.6204  1 Cu 2.35
K2 0.9527 0.0473 0.4367  7 S 3.16-3.50, 1 K 3.41
S5 0.7513 0.2487 0.2500  2 Cu 2.42
Cu4 0.1606 0.8394 0.2500  4 S 2.33-2.42
S6 0.6432 0.3568 0.4679  3 Cu 2.43-2.45
K3 0.4316 0.5684 0.2500  8 S 3.30-3.60
S7 0.3169 0.6831 0.1204  1 Cu 2.35
S8 0.3169 0.6831 0.3796  1 Cu 2.35
K4 0.0473 0.9527 0.5633  7 S 3.16-3.50, 1 K 3.41
Cu5 0.7625 0.2375 0.5374  4 S 2.35-2.45
S9 0.0679 0.9321 0.1725  1 Cu 2.33
K5 0.0473 0.9527 0.9367  7 S 3.16-3.50, 1 K 3.41
S10 0.2487 0.7513 0.7500  2 Cu 2.42
Th3 0.3091 0.6909 0.8582  6 S 2.78-2.81
K6 0.5684 0.4316 0.7500  8 S 3.30-3.60
S11 0.9321 0.0679 0.8275  1 Cu 2.33
S12 0.6432 0.3568 0.0321  3 Cu 2.43-2.45
S13 0.0679 0.9321 0.3275  1 Cu 2.33
Cu6 0.2375 0.7625 0.4626  4 S 2.35-2.45
S14 0.3568 0.6432 0.5321  3 Cu 2.43-2.45
Th4 0.3091 0.6909 0.6418  6 S 2.78-2.81


[6]
DFT (PBE-GGA) results for an optimized crystal structure of K4Th3CuS8.

Computed properties:
Formation energy (no corrections) = -1.4928 eV per atom
Volume = 434 Å³ per cell

a = 8.1166 Å, b = 8.8061 Å, c = 8.2964 Å
α = 118.35°, β = 119.29°, γ = 90.00°
With the nearest neighbours (Å) after each atom.
Fractional coordinates of all 16 atoms:
S1 0.7380 0.6959 0.9637  1 Cu 2.73, 2 Th 2.80-2.82
S2 0.7349 0.7124 0.4697  3 Th 2.85, 2 K 3.16
Th1 0.5000 0.5000 0.5000  6 S 2.79-2.85
K1 0.0000 0.0000 0.5000  6 S 3.16-3.30
S3 0.2257 0.6959 0.9637  1 Cu 2.73, 2 Th 2.80-2.82
K2 0.5000 0.0000 0.5000  6 S 3.16-3.30
Cu1 0.0000 0.5000 0.0000  6 S 2.73-3.00
S4 0.2620 0.3041 0.0363  1 Cu 2.73, 2 Th 2.80-2.82
S5 0.7532 0.2853 0.5064  2 Th 2.79, 1 Cu 3.00, 1 K 3.12
Th2 0.5000 0.5000 0.0000  6 S 2.80-2.85
Th3 0.0000 0.5000 0.5000  6 S 2.79-2.85
S6 0.2468 0.7147 0.4936  2 Th 2.79, 1 Cu 3.00, 1 K 3.12
K3 0.5000 0.0000 0.0000  6 S 3.12-3.29
K4 0.0000 0.0000 0.0000  6 S 3.22-3.25
S7 0.7743 0.3041 0.0363  1 Cu 2.73, 2 Th 2.80-2.82
S8 0.2651 0.2876 0.5303  3 Th 2.85, 2 K 3.16


[7]
DFT (PBE-GGA) results for an optimized crystal structure of KThCuS3.

Computed properties:
Formation energy (no corrections) = -1.4354 eV per atom
Volume = 320 Å³ per cell

a = 4.0898 Å, b = 8.9249 Å, c = 9.1483 Å
α = 106.42°, β = 90.00°, γ = 90.00°
With the nearest neighbours (Å) after each atom.
Fractional coordinates of all 12 atoms:
S1 0.2500 0.5429 0.8458  3 Th 2.84-2.89
Th1 0.7500 0.3181 0.8276  6 S 2.71-2.89
S2 0.7500 0.4571 0.1542  3 Th 2.84-2.89
S3 0.2500 0.1195 0.8574  1 Cu 2.35
S4 0.2500 0.8071 0.4789  3 Cu 2.38-2.44
S5 0.7500 0.8805 0.1426  1 Cu 2.35
Cu1 0.7500 0.9173 0.4076  4 S 2.35-2.44
Cu2 0.2500 0.0827 0.5924  4 S 2.35-2.44
K1 0.2500 0.1960 0.2420  7 S 3.28-3.39, 1 Cu 3.62
K2 0.7500 0.8040 0.7580  7 S 3.28-3.39, 1 Cu 3.62
S6 0.7500 0.1929 0.5211  3 Cu 2.38-2.44
Th2 0.2500 0.6819 0.1724  6 S 2.71-2.89


[8]
DFT (PBE-GGA) results for an optimized crystal structure of KTm2Cu2S4.

Computed properties:
Formation energy (no corrections) = -1.1227 eV per atom
Volume = 176 Å³ per cell

a = 3.6001 Å, b = 7.5383 Å, c = 7.4981 Å
α = 116.37°, β = 90.00°, γ = 103.82°
With the nearest neighbours (Å) after each atom.
Fractional coordinates of all 9 atoms:
S1 0.2181 0.4363 0.2774  2 Cu 2.48, 2 Tm 2.71
Cu1 0.3053 0.6105 0.9669  3 S 2.39-2.48, 2 Cu 2.62
Cu2 0.6947 0.3895 0.0331  3 S 2.39-2.48, 2 Cu 2.62
S2 0.5401 0.0803 0.7232  1 Cu 2.39
Tm1 0.8729 0.7458 0.4393  7 S 2.71-3.00, 1 Cu 2.97
K1 0.0000 0.0000 0.0000  6 S 2.91-3.00
Tm2 0.1271 0.2542 0.5607  7 S 2.71-3.00, 1 Cu 2.97
S3 0.4599 0.9197 0.2768  1 Cu 2.39
S4 0.7819 0.5637 0.7226  2 Cu 2.48, 2 Tm 2.71


[9]
DFT (PBE-GGA) results for an optimized crystal structure of KTmCuS3.

Computed properties:
Formation energy (no corrections) = -1.2737 eV per atom
Volume = 299 Å³ per cell

a = 3.9130 Å, b = 8.6647 Å, c = 9.2732 Å
α = 107.88°, β = 90.00°, γ = 90.00°
With the nearest neighbours (Å) after each atom.
Fractional coordinates of all 12 atoms:
S1 0.2500 0.5391 0.8412  3 Tm 2.68-2.70
S2 0.2500 0.8117 0.4597  3 Cu 2.31-2.32
Cu1 0.2500 0.0834 0.6044  4 S 2.29-2.32
S3 0.7500 0.4609 0.1588  3 Tm 2.68-2.70
Cu2 0.7500 0.9166 0.3956  4 S 2.29-2.32
Tm1 0.2500 0.6703 0.1433  6 S 2.68-2.81
Tm2 0.7500 0.3297 0.8567  6 S 2.68-2.81
K1 0.7500 0.7992 0.7680  7 S 3.21-3.49
K2 0.2500 0.2008 0.2320  7 S 3.21-3.49
S4 0.7500 0.8837 0.1406  1 Cu 2.29
S5 0.2500 0.1163 0.8594  1 Cu 2.29
S6 0.7500 0.1883 0.5403  3 Cu 2.31-2.32


[10]
DFT (PBE-GGA) results for an optimized crystal structure of KTmCuS2.

Computed properties:
Formation energy (no corrections) = -1.0982 eV per atom
Volume = 257 Å³ per cell

a = 4.5620 Å, b = 7.3800 Å, c = 7.7305 Å
α = 99.43°, β = 90.00°, γ = 90.00°
With the nearest neighbours (Å) after each atom.
Fractional coordinates of all 10 atoms:
S1 0.6697 0.2299 0.5341  1 Cu 2.25
S2 0.3303 0.7701 0.4659  1 Cu 2.25
K1 0.1587 0.5000 0.7500  6 S 3.26-3.33
Tm1 0.4932 0.0000 0.2500  4 S 2.67, 2 Cu 2.97
K2 0.8413 0.5000 0.2500  6 S 3.26-3.33
Cu1 0.0000 0.0000 0.0000  2 S 2.25
S3 0.6697 0.7701 0.9659  1 Cu 2.25
Tm2 0.5068 0.0000 0.7500  4 S 2.67, 2 Cu 2.97
S4 0.3303 0.2299 0.0341  1 Cu 2.25
Cu2 0.0000 0.0000 0.5000  2 S 2.25


[11]
DFT (PBE-GGA) results for an optimized crystal structure of KTm2CuS4.

Computed properties:
Formation energy (no corrections) = -1.6593 eV per atom
Volume = 357 Å³ per cell

a = 3.9134 Å, b = 6.9749 Å, c = 13.6273 Å
α = 90.00°, β = 90.00°, γ = 106.29°
With the nearest neighbours (Å) after each atom.
Fractional coordinates of all 16 atoms:
Cu1 0.1631 0.3262 0.2500  4 S 2.33
S1 0.5686 0.1372 0.2500  2 Cu 2.33
S2 0.7376 0.4752 0.8908  1 Cu 2.33
S3 0.2624 0.5248 0.3908  1 Cu 2.33
K1 0.8898 0.7796 0.2500  6 S 3.09-3.23
K2 0.1102 0.2204 0.7500  6 S 3.09-3.23
S4 0.0000 0.0000 0.0000  4 Tm 2.79
Tm1 0.3660 0.7319 0.5634  6 S 2.68-2.79
Tm2 0.6340 0.2681 0.0634  6 S 2.68-2.79
S5 0.7376 0.4752 0.6092  1 Cu 2.33
S6 0.4314 0.8628 0.7500  2 Cu 2.33
Cu2 0.8369 0.6738 0.7500  4 S 2.33
Tm3 0.3660 0.7319 0.9366  6 S 2.68-2.79
Tm4 0.6340 0.2681 0.4366  6 S 2.68-2.79
S7 0.0000 0.0000 0.5000  4 Tm 2.79
S8 0.2624 0.5248 0.1092  1 Cu 2.33


[12]
DFT (PBE-GGA) results for an optimized crystal structure of KU2CuS5.

Computed properties:
Formation energy (no corrections) = -1.2197 eV per atom
Volume = 389 Å³ per cell

a = 7.5563 Å, b = 7.5563 Å, c = 8.6549 Å
α = 115.88°, β = 115.88°, γ = 90.00°
With the nearest neighbours (Å) after each atom.
Fractional coordinates of all 18 atoms:
S1 0.4803 0.2713 0.2516  1 Cu 2.30
U1 0.3383 0.8383 0.0000  8 S 2.68-2.89
Cu1 0.7500 0.2500 0.5000  4 S 2.30
S2 0.0197 0.5197 0.7484  1 Cu 2.30
K1 0.2500 0.2500 0.5000  10 S 3.35-3.40
S3 0.5000 0.5000 0.0000  4 U 2.83
U2 0.6617 0.1617 0.0000  8 S 2.68-2.89
U3 0.8383 0.6617 0.0000  8 S 2.68-2.89
S4 0.5197 0.7287 0.7484  1 Cu 2.30
S5 0.2287 0.0197 0.7484  1 Cu 2.30
S6 0.9803 0.4803 0.2516  1 Cu 2.30
S7 0.7713 0.9803 0.2516  1 Cu 2.30
K2 0.7500 0.7500 0.5000  10 S 3.35-3.40
S8 0.7287 0.2287 0.7484  1 Cu 2.30
S9 0.0000 0.0000 0.0000  4 U 2.83
Cu2 0.2500 0.7500 0.5000  4 S 2.30
U4 0.1617 0.3383 0.0000  8 S 2.68-2.89
S10 0.2713 0.7713 0.2516  1 Cu 2.30